Entry 1:
VASP calculation (PBE) on a geometry-optimized Nd3Si structure.

Lattice parameters (Å, degrees): 4.007 5.165 6.584 113.09 107.71 90.00
Atoms (fractional coordinates):
1 Si 0.000 0.917 0.000
2 Nd 0.702 0.118 0.404
3 Nd 0.298 0.714 0.596
4 Nd 0.500 0.417 0.000

---

Entry 2:
VASP calculation (PBE) on a geometry-optimized Nd3Si structure.

Lattice parameters (Å, degrees): 4.785 4.785 4.785 90.00 90.00 90.00
Atoms (fractional coordinates):
1 Nd 0.000 0.500 0.500
2 Nd 0.500 0.000 0.500
3 Nd 0.500 0.500 0.000
4 Si 0.000 0.000 0.000

---

Entry 3:
VASP calculation (PBE) on a geometry-optimized Nd3Si structure.

Lattice parameters (Å, degrees): 4.102 4.102 8.728 103.59 103.59 90.00
Atoms (fractional coordinates):
1 Nd 0.500 0.500 0.000
2 Nd 0.176 0.176 0.352
3 Nd 0.824 0.824 0.648
4 Si 0.000 0.000 0.000

---

Entry 4:
VASP calculation (PBE) on a geometry-optimized NdSm2Si2 structure.

Lattice parameters (Å, degrees): 4.427 6.586 9.831 77.53 76.99 70.36
Atoms (fractional coordinates):
1 Si 0.892 0.658 0.558
2 Si 0.970 0.156 0.903
3 Si 0.030 0.844 0.097
4 Si 0.108 0.342 0.442
5 Sm 0.486 0.342 0.687
6 Sm 0.514 0.658 0.313
7 Sm 0.318 0.277 0.087
8 Sm 0.682 0.723 0.913
9 Nd 0.782 0.082 0.354
10 Nd 0.218 0.918 0.646

---

| no. | raw formation energy (meV per atom) | magnetization (μB/f.u.) |
| --- | --- | --- |
| 1 | -254 | 0.00 |
| 2 | -249 | 0.00 |
| 3 | -153 | 0.01 |
| 4 | -548 | 0.00 |